{
  "formula": "TlGe3Se",
  "functional": "GGA-PBE",
  "state": "relaxed",
  "polymorph_energy_ev_per_fu": 2.26,
  "raw_formation_energy_ev_per_atom": 1.0134,
  "volume_a3_per_atom": 31.02,
  "rho_g_cm3": 5.37,
  "lattice_angstrom": [[-3.979, -3.565, -0.575], [0.662, 0.121, -5.330], [3.550, -4.018, 0.350]],
  "species": ["Ge", "Se", "Tl", "Ge", "Ge"],
  "fractional_positions": [[0.500, 0.000, 0.000], [0.500, 0.500, 0.500], [0.000, 0.000, 0.000], [0.000, 0.500, 0.000], [0.000, 0.000, 0.500]]
}